# 1
PBE-GGA Tm2ZnSn2, relaxed; formation energy = -0.518 eV per atom; E = -41.6 eV per cell
1.0
4.594 0.000 0.000
0.000 6.786 0.000
-2.297 0.000 8.150
Tm Zn Sn
4 2 4
direct
0.992 0.724 0.985 Tm
0.798 0.446 0.597 Tm
0.202 0.946 0.403 Tm
0.008 0.224 0.015 Tm
0.404 0.049 0.809 Zn
0.596 0.549 0.191 Zn
0.426 0.464 0.852 Sn
0.826 0.952 0.652 Sn
0.174 0.452 0.348 Sn
0.574 0.964 0.148 Sn

# 2
PBE-GGA Tm6Zn2Sn, relaxed; formation energy = -0.314 eV per atom; E = -72.4 eV per cell
1.0
8.502 -0.057 -0.258
-3.274 7.847 0.258
-3.020 -3.623 7.079
Tm Zn Sn
12 4 2
direct
0.527 0.717 0.810 Tm
0.473 0.283 0.190 Tm
0.093 0.283 0.810 Tm
0.907 0.717 0.190 Tm
0.797 0.766 0.563 Tm
0.203 0.234 0.437 Tm
0.203 0.766 0.968 Tm
0.797 0.234 0.032 Tm
0.700 0.383 0.683 Tm
0.300 0.617 0.317 Tm
0.300 0.982 0.683 Tm
0.700 0.018 0.317 Tm
0.500 0.381 0.881 Zn
0.500 0.619 0.119 Zn
0.645 0.000 0.645 Zn
0.355 0.000 0.355 Zn
0.000 0.500 0.500 Sn
0.000 0.000 0.000 Sn

# 3
PBE-GGA Tm6ZnSn2, relaxed; formation energy = 0.034 eV per atom; E = -71.6 eV per cell
1.0
7.396 0.000 0.000
0.000 7.396 0.000
0.000 0.000 10.733
Tm Zn Sn
12 2 4
direct
0.283 0.283 0.338 Tm
0.717 0.717 0.338 Tm
0.217 0.783 0.838 Tm
0.783 0.217 0.838 Tm
0.217 0.783 0.162 Tm
0.783 0.217 0.162 Tm
0.283 0.283 0.662 Tm
0.717 0.717 0.662 Tm
0.261 0.261 0.000 Tm
0.739 0.739 0.000 Tm
0.239 0.761 0.500 Tm
0.761 0.239 0.500 Tm
0.000 0.000 0.000 Zn
0.500 0.500 0.500 Zn
0.000 0.000 0.339 Sn
0.500 0.500 0.839 Sn
0.500 0.500 0.161 Sn
0.000 0.000 0.661 Sn

# 4
PBE-GGA Tm7Zn2Sn2, relaxed; formation energy = -0.121 eV per atom; E = -43.2 eV per cell
1.0
-0.618 -4.403 5.104
7.053 -1.085 -0.083
0.980 6.162 2.624
Tm Zn Sn
7 2 2
direct
0.000 0.270 0.500 Tm
0.500 0.730 0.000 Tm
0.000 0.730 0.500 Tm
0.500 0.270 0.000 Tm
0.000 0.000 0.000 Tm
0.500 0.761 0.500 Tm
0.500 0.239 0.500 Tm
0.713 0.000 0.287 Zn
0.287 0.000 0.713 Zn
0.817 0.500 0.817 Sn
0.183 0.500 0.183 Sn

# 5
PBE-GGA Tm7Zn4Sn, relaxed; formation energy = -0.157 eV per atom; E = -42.3 eV per cell
1.0
-0.408 4.236 3.617
-7.078 4.555 -1.821
-5.645 -0.980 4.823
Tm Zn Sn
7 4 1
direct
0.819 0.875 0.488 Tm
0.181 0.125 0.512 Tm
0.077 0.591 0.254 Tm
0.923 0.409 0.746 Tm
0.278 0.685 0.759 Tm
0.500 0.000 0.000 Tm
0.722 0.315 0.241 Tm
0.515 0.332 0.638 Zn
0.485 0.668 0.362 Zn
0.689 0.665 0.956 Zn
0.311 0.335 0.044 Zn
0.000 0.000 0.000 Sn

# 6
PBE-GGA Tm4ZnSn, relaxed; formation energy = -0.315 eV per atom; E = -50.1 eV per cell
1.0
0.194 4.887 -3.319
-8.013 -2.554 -0.053
2.677 2.587 7.141
Tm Zn Sn
8 2 2
direct
0.050 0.215 0.843 Tm
0.777 0.706 0.639 Tm
0.293 0.627 0.843 Tm
0.362 0.933 0.639 Tm
0.638 0.067 0.361 Tm
0.707 0.373 0.157 Tm
0.223 0.294 0.361 Tm
0.950 0.785 0.157 Tm
0.250 0.000 0.999 Zn
0.750 0.000 0.001 Zn
0.373 0.623 0.245 Sn
0.627 0.377 0.755 Sn